# 1
{"formula": "Ni4Ir", "functional": "PBE", "state": "relaxed", "e_above_lowest_polymorph_ev_per_fu": 0.000, "space_group": "I4/m (87)", "ef_kcal_per_mol_atoms": 0.2, "volume_a3_per_atom": 11.69, "cell": [[-0.293, -2.045, 2.954], [3.809, -1.764, 1.356], [0.822, 4.254, 0.828]], "species": ["Ir", "Ni", "Ni", "Ni", "Ni"], "fractional_positions": [[0.000, 0.000, 0.000], [0.199, 0.201, 0.598], [0.600, 0.598, 0.799], [0.801, 0.799, 0.402], [0.400, 0.402, 0.201]]}



# 2
{"formula": "Y2RhBr", "functional": "PBE", "state": "relaxed", "e_above_lowest_polymorph_ev_per_fu": 1.856, "space_group": "I-42d (122)", "e_form_raw_mev_per_atom": -598, "volume_a3_per_atom": 27.60, "cell": [[7.433, 0.000, 0.000], [0.000, 7.433, 0.000], [3.716, 3.716, 3.996]], "species": ["Y", "Y", "Y", "Y", "Rh", "Rh", "Br", "Br"], "fractional_positions": [[0.654, 0.125, 0.250], [0.096, 0.625, 0.250], [0.375, 0.346, 0.750], [0.875, 0.904, 0.750], [0.000, 0.000, 0.000], [0.750, 0.250, 0.500], [0.500, 0.500, 0.000], [0.250, 0.750, 0.500]]}



# 3
{"formula": "Tb2Dy2TmSc2", "functional": "PBE", "state": "relaxed", "space_group": "C2/m (12)", "ef_kcal_per_mol_atoms": 2.5, "volume_a3_per_atom": 29.79, "cell": [[3.410, 0.000, 0.000], [-1.705, 5.427, 1.497], [0.000, 0.738, 11.473]], "species": ["Tb", "Tb", "Dy", "Dy", "Tm", "Sc", "Sc"], "fractional_positions": [[0.670, 0.340, 0.912], [0.330, 0.660, 0.088], [0.452, 0.904, 0.767], [0.548, 0.096, 0.233], [0.000, 0.000, 0.500], [0.772, 0.544, 0.367], [0.228, 0.456, 0.633]]}



# 4
{"formula": "KCa2TiO", "functional": "PBE", "state": "relaxed", "space_group": "P4/mmm (123)", "e_form_raw_mev_per_atom": -555, "volume_a3_per_atom": 29.03, "cell": [[6.110, 0.000, 0.000], [0.000, 3.889, 0.000], [0.000, 0.000, 6.110]], "species": ["Ca", "Ca", "K", "O", "Ti"], "fractional_positions": [[0.000, 0.000, 0.500], [0.500, 0.000, 0.000], [0.500, 0.500, 0.500], [0.000, 0.000, 0.000], [0.000, 0.500, 0.000]]}



# 5
{"formula": "SrCr2Ir", "functional": "PBE", "state": "relaxed", "e_above_lowest_polymorph_ev_per_fu": 0.528, "space_group": "P2/m (10)", "ef_kcal_per_mol_atoms": 12.1, "volume_a3_per_atom": 18.91, "cell": [[-3.383, 2.542, 0.828], [-1.690, -1.796, -1.392], [-1.374, -3.452, 4.986]], "species": ["Cr", "Cr", "Ir", "Sr"], "fractional_positions": [[0.000, 0.843, 0.104], [0.000, 0.657, 0.396], [0.500, 0.250, 0.250], [0.500, 0.750, 0.750]]}



# 6
{"formula": "ZrTePt2", "functional": "PBE", "state": "relaxed", "space_group": "P4mm (99)", "e_form_raw_mev_per_atom": -489, "volume_a3_per_atom": 19.69, "cell": [[-3.139, 1.670, -0.344], [-0.553, -1.681, -3.103], [-2.787, -4.620, 3.000]], "species": ["Pt", "Pt", "Te", "Zr"], "fractional_positions": [[0.000, 0.000, 0.999], [0.500, 0.500, 0.237], [0.000, 0.000, 0.470], [0.500, 0.500, 0.794]]}



# 7
{"formula": "HfScGaNi", "functional": "PBE", "state": "relaxed", "space_group": "F-43m (216)", "ef_kcal_per_mol_atoms": -9.8, "volume_a3_per_atom": 17.43, "cell": [[4.620, 0.000, 0.000], [2.310, 4.001, 0.000], [2.310, 1.334, 3.772]], "species": ["Sc", "Ni", "Hf", "Ga"], "fractional_positions": [[0.500, 0.500, 0.500], [0.250, 0.250, 0.250], [0.000, 0.000, 0.000], [0.750, 0.750, 0.750]]}



# 8
{"formula": "Th3Co2Ni7", "functional": "PBE", "state": "relaxed", "space_group": "R-3m (166)", "ef_kcal_per_mol_atoms": -8.1, "volume_a3_per_atom": 15.18, "cell": [[5.000, 0.000, 0.000], [2.500, 4.330, 0.000], [2.500, 1.443, 8.411]], "species": ["Th", "Th", "Th", "Co", "Co", "Ni", "Ni", "Ni", "Ni", "Ni", "Ni", "Ni"], "fractional_positions": [[0.000, 0.000, 0.000], [0.864, 0.864, 0.409], [0.136, 0.136, 0.591], [0.667, 0.667, 0.998], [0.333, 0.333, 0.002], [0.500, 0.500, 0.500], [0.920, 0.418, 0.243], [0.418, 0.920, 0.243], [0.418, 0.418, 0.243], [0.080, 0.582, 0.757], [0.582, 0.582, 0.757], [0.582, 0.080, 0.757]]}



Results for total DFT energy (no corrections): -6.389; -6.087; -4.978; -4.146; -6.925; -6.432; -6.698; -6.763 (in eV/atom, following the order of the records).